The following is a DFT calculation (meta-GGA SCAN) of a PBEsol-optimized structure of LiSb3P2O10.

abc: 5.3038 6.7570 7.0723
angles: 112.84 108.54 95.34
Closest atoms and distances in Å follow each position.
Space group P1 (No. 1)
Unique sites:
Li 0.0000 0.0000 0.0000 x1  2 O 1.89-2.02
Sb 0.0078 0.6047 0.1484 x1  3 O 2.01-2.24
Sb 0.4489 0.7320 0.8810 x1  3 O 2.03-2.11
Sb 0.6340 0.0632 0.4355 x1  3 O 2.02-2.19
P 0.3962 0.1803 0.8254 x1  4 O 1.51-1.57
P 0.7028 0.5859 0.4898 x1  4 O 1.54-1.57
O 0.1292 0.1435 0.8543 x1  1 P 1.51
O 0.3152 0.8902 0.1400 x1  1 Li 2.02, 2 Sb 2.02-2.11
O 0.3390 0.1169 0.5758 x1  1 P 1.56
O 0.5074 0.7275 0.4267 x1  1 P 1.55
O 0.5438 0.3411 0.3615 x1  1 P 1.54
O 0.5624 0.4296 0.9652 x1  1 P 1.57
O 0.5963 0.0471 0.9077 x1  1 P 1.57
O 0.8093 0.8449 0.1492 x1  2 Sb 2.01-2.03, 1 Li 2.14
O 0.8113 0.6645 0.7452 x1  1 P 1.55
O 0.9615 0.6269 0.4344 x1  1 P 1.57

Formation energy (no corrections) = -1.99 eV/atom
Electronic total energy = -14.3161 eV/atom
Fermi-level density of states = 0.0 states/eV per cell
Size of the total moment = 0.00 Bohr magnetons per cell